Entry 1:
This record from Alexandria via LeMat-Bulk describes a relaxed structure of HfSeN2O. The functional is PBE-GGA.

## Properties
Formation energy from raw total energies: 364 meV per atom
V: 57.51 Å³ per cell
Electronic total energy: -6.64 eV per atom
DOS at the Fermi energy: 1.4 states/eV/f.u.

```
data_HfSeN2O
_chemical_formula_sum 'Hf1 Se1 N2 O1'
_cell_length_a 3.933
_cell_length_b 3.933
_cell_length_c 3.718
_cell_angle_alpha 90.00
_cell_angle_beta 90.00
_cell_angle_gamma 90.00
_symmetry_space_group_name_H-M 'P 4/m m m'
_symmetry_Int_Tables_number 123
_symmetry_space_group_name_Hall '-P 4 2'
loop_
_atom_site_label
_atom_site_fract_x
_atom_site_fract_y
_atom_site_fract_z
_atom_site_occupancy
Hf1 0.000 0.000 0.000 1
Se1 0.500 0.500 0.500 1
N1 0.000 0.500 0.500 1
O1 0.500 0.500 0.000 1
```

=====

Entry 2:
This record from Alexandria via LeMat-Bulk describes a relaxed structure of HfSeN2O. The functional is PBE-GGA.

## Properties
Formation energy from raw total energies: 916 meV per atom
V: 90.56 Å³ per cell
Electronic total energy: -6.09 eV per atom
DOS at the Fermi energy: 5.4 states/eV/f.u.

```
data_HfSeN2O
_chemical_formula_sum 'Hf1 Se1 N2 O1'
_cell_length_a 4.011
_cell_length_b 4.011
_cell_length_c 5.630
_cell_angle_alpha 90.00
_cell_angle_beta 90.00
_cell_angle_gamma 90.00
_symmetry_space_group_name_H-M 'P 4/m m m'
_symmetry_Int_Tables_number 123
_symmetry_space_group_name_Hall '-P 4 2'
loop_
_atom_site_label
_atom_site_fract_x
_atom_site_fract_y
_atom_site_fract_z
_atom_site_occupancy
Hf1 0.000 0.000 0.000 1
Se1 0.000 0.000 0.500 1
N1 0.000 0.500 0.000 1
O1 0.500 0.500 0.500 1
```

=====

Entry 3:
This record from Alexandria via LeMat-Bulk describes a relaxed structure of HfSiNO2. The functional is PBE-GGA.

## Properties
Formation energy from raw total energies: -961 meV per atom
V: 70.17 Å³ per cell
Electronic total energy: -7.68 eV per atom
DOS at the Fermi energy: 1.7 states/eV/f.u.

```
data_HfSiNO2
_chemical_formula_sum 'Hf1 Si1 N1 O2'
_cell_length_a 4.050
_cell_length_b 4.050
_cell_length_c 4.278
_cell_angle_alpha 90.00
_cell_angle_beta 90.00
_cell_angle_gamma 90.00
_symmetry_space_group_name_H-M 'P 4/m m m'
_symmetry_Int_Tables_number 123
_symmetry_space_group_name_Hall '-P 4 2'
loop_
_atom_site_label
_atom_site_fract_x
_atom_site_fract_y
_atom_site_fract_z
_atom_site_occupancy
Hf1 0.000 0.000 0.000 1
Si1 0.500 0.500 0.500 1
N1 0.000 0.000 0.500 1
O1 0.000 0.500 0.000 1
```